Model A:
Crystalline CaCuS2Cl at its relaxed geometry, computed with PBE.

a b c (Å): 4.5000 4.5000 5.1114
angles (deg): 90.00 90.00 90.00
Sites, in units of the cell vectors:
Ca1 0.0000 0.0000 0.0000
Cu1 0.5000 0.5000 0.5000
S1 0.0000 0.5000 0.5000
S2 0.5000 0.0000 0.5000
Cl1 0.5000 0.5000 0.0000

Model B:
Crystalline CaCuS2Cl at its relaxed geometry, computed with PBE.

a b c (Å): 5.2815 5.2815 5.1996
angles (deg): 90.00 90.00 90.00
Sites, in units of the cell vectors:
Ca1 0.0000 0.0000 0.0000
Cu1 0.5000 0.5000 0.5000
S1 0.0000 0.5000 0.0000
S2 0.5000 0.0000 0.0000
Cl1 0.0000 0.0000 0.5000

Most stable structure - model A; separation to the second - 819 meV/atom.

Model A:
Crystalline CaCl2F at its relaxed geometry, computed with PBE.

a b c (Å): 7.7067 7.7067 7.7067
angles (deg): 32.21 32.21 32.21
Sites, in units of the cell vectors:
Ca1 0.0000 0.0000 0.0000
Cl1 0.3916 0.3916 0.3916
Cl2 0.6084 0.6084 0.6084
F1 0.5000 0.5000 0.5000

Model B:
Crystalline CaCl2F at its relaxed geometry, computed with PBE.

a b c (Å): 4.7909 4.7909 4.7909
angles (deg): 60.00 60.00 60.00
Sites, in units of the cell vectors:
Ca1 0.0000 0.0000 0.0000
Cl1 0.2500 0.2500 0.2500
Cl2 0.7500 0.7500 0.7500
F1 0.5000 0.5000 0.5000

Most stable structure - model A; separation to the second - 24 meV/atom.

Model A:
Crystalline CaClF2 at its relaxed geometry, computed with PBE.

a b c (Å): 4.3684 6.6628 6.7848
angles (deg): 104.28 104.97 108.36
Sites, in units of the cell vectors:
Ca1 0.0000 0.0000 0.0000
Ca2 0.4964 0.7399 0.2977
Cl1 0.4907 0.3468 0.7907
Cl2 0.6292 0.3064 0.5260
F1 0.2685 0.3734 0.0961
F2 0.5128 0.9580 0.0775
F3 0.7233 0.8435 0.6503
F4 0.9975 0.7951 0.2353

Model B:
Crystalline CaClF2 at its relaxed geometry, computed with PBE.

a b c (Å): 7.0153 7.0153 7.0153
angles (deg): 126.81 126.81 78.55
Sites, in units of the cell vectors:
Ca1 0.0000 0.0000 0.0000
Ca2 0.7500 0.2500 0.5000
Cl1 0.2500 0.7500 0.5000
Cl2 0.5000 0.5000 0.0000
F1 0.3750 0.2146 0.3396
F2 0.7854 0.1250 0.1604
F3 0.8750 0.0354 0.6604
F4 0.9646 0.6250 0.8396

Most stable structure - model A; separation to the second - 408 meV/atom.

Model A:
Crystalline CaClF2 at its relaxed geometry, computed with PBE.

a b c (Å): 3.9024 4.1918 4.4581
angles (deg): 90.02 90.21 113.78
Sites, in units of the cell vectors:
Ca1 0.0000 0.0000 0.0000
Cl1 0.4032 0.7038 0.4990
F1 0.6479 0.3320 0.9995
F2 0.9570 0.1694 0.4999

Model B:
Crystalline CaClF2 at its relaxed geometry, computed with PBE.

a b c (Å): 3.8541 6.6499 6.9306
angles (deg): 64.21 89.75 74.23
Sites, in units of the cell vectors:
Ca1 0.0000 0.0000 0.0000
Ca2 0.4020 0.2099 0.4079
Cl1 0.5423 0.6356 0.8976
Cl2 0.7358 0.6864 0.6120
F1 0.2519 0.6016 0.2135
F2 0.4259 0.1569 0.9547
F3 0.9237 0.1578 0.6266
F4 0.9481 0.1151 0.2696

Most stable structure - model B; separation to the second - 287 meV/atom.